Entry 1:
# Ac2B2IrN6 (GGA-PBE, optimized geometry)
# size of the total moment: 0.00 μB per formula unit
# E: -7.936 eV/atom
# DOS(E_F): 17.2 states/eV/cell
# E_form (uncorrected): -0.6286 eV/atom
data_Ac2B2IrN6
_space_group_name_H-M_alt 'R -3 m'
_space_group_IT_number 166
_space_group_name_Hall '-R 3 2"'
_cell_length_a 5.3448
_cell_length_b 5.3448
_cell_length_c 15.9802
_cell_angle_alpha 90.00
_cell_angle_beta 90.00
_cell_angle_gamma 120.00
loop_
_atom_site_label
_atom_site_fract_x
_atom_site_fract_y
_atom_site_fract_z
Ac1 0.0000 0.0000 0.2255
B1 0.0000 0.0000 0.4083
Ir1 0.0000 0.0000 0.0000
N1 0.0175 0.5088 0.2558

=====

Entry 2:
# Sr6PdAu2N (GGA-PBE, optimized geometry)
# size of the total moment: 0.00 μB per formula unit
# E: -3.589 eV/atom
# DOS(E_F): 12.6 states/eV/cell
# E_form (uncorrected): -0.5724 eV/atom
data_Sr6PdAu2N
_space_group_name_H-M_alt 'P 1 21/c 1'
_space_group_IT_number 14
_cell_length_a 7.3156
_cell_length_b 8.0651
_cell_length_c 12.7325
_cell_angle_alpha 90.00
_cell_angle_beta 123.08
_cell_angle_gamma 90.00
loop_
_space_group_symop_operation_xyz
'x,y,z'
'-x,-y,-z'
'-x,y+1/2,-z+1/2'
'x,-y+1/2,z+1/2'
loop_
_atom_site_label
_atom_site_fract_x
_atom_site_fract_y
_atom_site_fract_z
Sr1 0.1071 0.0351 0.2316
Sr2 0.2201 0.7071 0.0610
Sr3 0.3523 0.1696 0.0545
Pd1 0.5000 0.0000 0.5000
Au1 0.2985 0.0993 0.7562
N1 0.0000 0.0000 0.0000

=====

Entry 3:
# TeMo2Ru (GGA-PBE, optimized geometry)
# size of the total moment: 0.00 μB per formula unit
# E: -8.107 eV/atom
# DOS(E_F): 5.2 states/eV/cell
# E_form (uncorrected): 0.4125 eV/atom
data_TeMo2Ru
_space_group_name_H-M_alt 'P m m 2'
_space_group_IT_number 25
_cell_length_a 3.0824
_cell_length_b 4.0830
_cell_length_c 5.3891
_cell_angle_alpha 90.00
_cell_angle_beta 90.00
_cell_angle_gamma 90.00
loop_
_space_group_symop_operation_xyz
'x,y,z'
'-x,-y,z'
'-x,y,z'
'x,-y,z'
loop_
_atom_site_label
_atom_site_fract_x
_atom_site_fract_y
_atom_site_fract_z
Te1 0.0000 0.0000 0.0000
Mo1 0.0000 0.0000 0.5041
Mo2 0.5000 0.5000 0.2738
Ru1 0.5000 0.5000 0.7442

=====

Entry 4:
# ErCd3Pd3 (GGA-PBE, optimized geometry)
# size of the total moment: 0.00 μB per formula unit
# E: -3.753 eV/atom
# DOS(E_F): 7.4 states/eV/cell
# formation energy from the elements: -484 meV/atom
data_ErCd3Pd3
_space_group_name_H-M_alt 'R 3 m'
_space_group_IT_number 160
_space_group_name_Hall 'R 3 -2"'
_cell_length_a 9.3030
_cell_length_b 9.3030
_cell_length_c 5.6936
_cell_angle_alpha 90.00
_cell_angle_beta 90.00
_cell_angle_gamma 120.00
loop_
_atom_site_label
_atom_site_fract_x
_atom_site_fract_y
_atom_site_fract_z
Er1 0.0000 0.0000 0.0000
Cd1 0.0021 0.5011 0.0059
Pd1 0.9998 0.4999 0.5050

=====

Entry 5:
# YCrCl2 (GGA-PBE, optimized geometry)
# size of the total moment: 5.03 μB per formula unit
# E: -5.411 eV/atom
# DOS(E_F): 8.4 states/eV/cell
# relative energy among the computed polymorphs: 34.02 kJ per mole of atoms
# E_form (uncorrected): -0.4660 eV/atom
data_YCrCl2
_space_group_name_H-M_alt 'F m -3 m'
_space_group_IT_number 225
_space_group_name_Hall '-F 4 2 3'
_cell_length_a 6.8862
_cell_length_b 6.8862
_cell_length_c 6.8862
_cell_angle_alpha 90.00
_cell_angle_beta 90.00
_cell_angle_gamma 90.00
loop_
_atom_site_label
_atom_site_fract_x
_atom_site_fract_y
_atom_site_fract_z
Y1 0.0000 0.0000 0.0000
Cr1 0.0000 0.0000 0.5000
Cl1 0.2500 0.2500 0.2500

=====

Entry 6:
# Cs3HgCl6 (GGA-PBE, optimized geometry)
# size of the total moment: 0.00 μB per formula unit
# E: -2.745 eV/atom
# DOS(E_F): 3.1 states/eV/cell
# relative energy among the computed polymorphs: 0.00 kJ per mole of atoms
# E_form (uncorrected): -1.3507 eV/atom
data_Cs3HgCl6
_space_group_name_H-M_alt 'C m c 21'
_space_group_IT_number 36
_cell_length_a 15.2337
_cell_length_b 19.4618
_cell_length_c 5.6107
_cell_angle_alpha 90.00
_cell_angle_beta 90.00
_cell_angle_gamma 90.00
loop_
_space_group_symop_operation_xyz
'x,y,z'
'-x,-y,z+1/2'
'-x,y,z'
'x,-y,z+1/2'
'x+1/2,y+1/2,z'
'-x+1/2,-y+1/2,z+1/2'
'-x+1/2,y+1/2,z'
'x+1/2,-y+1/2,z+1/2'
loop_
_atom_site_label
_atom_site_fract_x
_atom_site_fract_y
_atom_site_fract_z
Cs1 0.0000 0.1151 0.0000
Cs2 0.1819 0.3801 0.0226
Hg1 0.0000 0.2907 0.5830
Cl1 0.0000 0.2857 0.1115
Cl2 0.0000 0.4202 0.6147
Cl3 0.1433 0.2258 0.6357
Cl4 0.1634 0.0008 0.2640

=====

Entry 7:
# Na2ZnAsS4 (GGA-PBE, optimized geometry)
# size of the total moment: 0.00 μB per formula unit
# E: -3.742 eV/atom
# DOS(E_F): 6.1 states/eV/cell
# E_form (uncorrected): -0.6081 eV/atom
data_Na2ZnAsS4
_space_group_name_H-M_alt 'P m n 21'
_space_group_IT_number 31
_cell_length_a 8.0882
_cell_length_b 7.8743
_cell_length_c 6.2509
_cell_angle_alpha 90.00
_cell_angle_beta 90.00
_cell_angle_gamma 90.00
loop_
_space_group_symop_operation_xyz
'x,y,z'
'-x+1/2,-y,z+1/2'
'-x,y,z'
'x+1/2,-y,z+1/2'
loop_
_atom_site_label
_atom_site_fract_x
_atom_site_fract_y
_atom_site_fract_z
Na1 0.2416 0.1631 0.0000
Zn1 0.0000 0.3619 0.5190
As1 0.0000 0.6680 0.0218
S1 0.0000 0.4010 0.8973
S2 0.0000 0.6368 0.3801
S3 0.2342 0.1923 0.4511

=====

Entry 8:
# CaTe2Au (GGA-PBE, optimized geometry)
# size of the total moment: 0.00 μB per formula unit
# E: -3.456 eV/atom
# DOS(E_F): 11.0 states/eV/cell
# E_form (uncorrected): -0.5652 eV/atom
data_CaTe2Au
_space_group_name_H-M_alt 'R -3 m'
_space_group_IT_number 166
_space_group_name_Hall '-R 3 2"'
_cell_length_a 4.5489
_cell_length_b 4.5489
_cell_length_c 25.9060
_cell_angle_alpha 90.00
_cell_angle_beta 90.00
_cell_angle_gamma 120.00
loop_
_atom_site_label
_atom_site_fract_x
_atom_site_fract_y
_atom_site_fract_z
Ca1 0.0000 0.0000 0.0000
Te1 0.0000 0.0000 0.4012
Au1 0.0000 0.0000 0.5000

=====

Entry 9:
# PrNi2Sn3 (GGA-PBE, optimized geometry)
# size of the total moment: 0.00 μB per formula unit
# E: -5.110 eV/atom
# DOS(E_F): 15.3 states/eV/cell
# relative energy among the computed polymorphs: 0.00 kJ per mole of atoms
# formation energy from the elements: -385 meV/atom
data_PrNi2Sn3
_space_group_name_H-M_alt 'C 1 2/m 1'
_space_group_IT_number 12
_cell_length_a 17.0539
_cell_length_b 4.3934
_cell_length_c 10.6144
_cell_angle_alpha 90.00
_cell_angle_beta 107.26
_cell_angle_gamma 90.00
loop_
_space_group_symop_operation_xyz
'x,y,z'
'-x,-y,-z'
'-x,y,-z'
'x,-y,z'
'x+1/2,y+1/2,z'
'-x+1/2,-y+1/2,-z'
'-x+1/2,y+1/2,-z'
'x+1/2,-y+1/2,z'
loop_
_atom_site_label
_atom_site_fract_x
_atom_site_fract_y
_atom_site_fract_z
Pr1 0.0000 0.0000 0.0000
Pr2 0.1541 0.0000 0.7000
Ni1 0.0128 0.5000 0.7689
Ni2 0.1395 0.5000 0.4366
Ni3 0.1952 0.0000 0.1074
Sn1 0.0000 0.5000 0.5000
Sn2 0.0454 0.0000 0.3411
Sn3 0.1299 0.5000 0.1832
Sn4 0.1608 0.5000 0.9318
Sn5 0.2253 0.0000 0.3791

=====

Entry 10:
# MnIn2Cl (GGA-PBE, optimized geometry)
# size of the total moment: 3.99 μB per formula unit
# E: -3.922 eV/atom
# DOS(E_F): 3.8 states/eV/cell
# relative energy among the computed polymorphs: 32.41 kJ per mole of atoms
# E_form (uncorrected): 0.2010 eV/atom
data_MnIn2Cl
_space_group_name_H-M_alt 'F -4 3 m'
_space_group_IT_number 216
_space_group_name_Hall 'F -4 2 3'
_cell_length_a 7.2370
_cell_length_b 7.2370
_cell_length_c 7.2370
_cell_angle_alpha 90.00
_cell_angle_beta 90.00
_cell_angle_gamma 90.00
loop_
_atom_site_label
_atom_site_fract_x
_atom_site_fract_y
_atom_site_fract_z
Mn1 0.0000 0.0000 0.0000
In1 0.0000 0.0000 0.5000
In2 0.2500 0.2500 0.2500
Cl1 0.2500 0.2500 0.7500

=====

Entry 11:
# Th2TcC2 (GGA-PBE, optimized geometry)
# size of the total moment: 0.00 μB per formula unit
# E: -9.041 eV/atom
# DOS(E_F): 16.1 states/eV/cell
# relative energy among the computed polymorphs: 0.00 kJ per mole of atoms
# formation energy from the elements: -310 meV/atom
data_Th2TcC2
_space_group_name_H-M_alt 'P n m a'
_space_group_IT_number 62
_cell_length_a 6.6904
_cell_length_b 5.3426
_cell_length_c 10.1611
_cell_angle_alpha 90.00
_cell_angle_beta 90.00
_cell_angle_gamma 90.00
loop_
_space_group_symop_operation_xyz
'x,y,z'
'-x,-y,-z'
'-x+1/2,-y,z+1/2'
'x+1/2,y,-z+1/2'
'x+1/2,-y+1/2,-z+1/2'
'-x+1/2,y+1/2,z+1/2'
'-x,y+1/2,-z'
'x,-y+1/2,z'
loop_
_atom_site_label
_atom_site_fract_x
_atom_site_fract_y
_atom_site_fract_z
Th1 0.0255 0.2500 0.2224
Th2 0.1897 0.2500 0.5492
Tc1 0.2273 0.2500 0.8619
C1 0.0325 0.7500 0.2436
C2 0.1649 0.7500 0.5548

=====

Entry 12:
# Dy2NiI2 (GGA-PBE, optimized geometry)
# size of the total moment: 0.00 μB per formula unit
# E: -4.504 eV/atom
# DOS(E_F): 3.6 states/eV/cell
# E_form (uncorrected): -0.8867 eV/atom
data_Dy2NiI2
_space_group_name_H-M_alt 'C 1 2/m 1'
_space_group_IT_number 12
_cell_length_a 6.9642
_cell_length_b 4.0196
_cell_length_c 12.2726
_cell_angle_alpha 90.00
_cell_angle_beta 102.15
_cell_angle_gamma 90.00
loop_
_space_group_symop_operation_xyz
'x,y,z'
'-x,-y,-z'
'-x,y,-z'
'x,-y,z'
'x+1/2,y+1/2,z'
'-x+1/2,-y+1/2,-z'
'-x+1/2,y+1/2,-z'
'x+1/2,-y+1/2,z'
loop_
_atom_site_label
_atom_site_fract_x
_atom_site_fract_y
_atom_site_fract_z
Dy1 0.2135 0.0000 0.1264
Ni1 0.0000 0.5000 0.0000
I1 0.0528 0.0000 0.6936

=====

Entry 13:
# YHPb2 (GGA-PBE, optimized geometry)
# size of the total moment: 0.00 μB per formula unit
# E: -4.025 eV/atom
# DOS(E_F): 10.7 states/eV/cell
# relative energy among the computed polymorphs: 0.00 kJ per mole of atoms
data_YHPb2
_space_group_name_H-M_alt 'I -4 2 d'
_space_group_IT_number 122
_space_group_name_Hall 'I -4 2bw'
_cell_length_a 6.0579
_cell_length_b 6.0579
_cell_length_c 11.6685
_cell_angle_alpha 90.00
_cell_angle_beta 90.00
_cell_angle_gamma 90.00
loop_
_atom_site_label
_atom_site_fract_x
_atom_site_fract_y
_atom_site_fract_z
Y1 0.0000 0.0000 0.0000
H1 0.0000 0.0000 0.5000
Pb1 0.0658 0.2500 0.6250

=====

Entry 14:
# LiPmAgGe (GGA-PBE, optimized geometry)
# size of the total moment: 0.00 μB per formula unit
# E: -3.966 eV/atom
# DOS(E_F): 6.8 states/eV/cell
# formation energy from the elements: -433 meV/atom
data_LiPmAgGe
_space_group_name_H-M_alt 'F -4 3 m'
_space_group_IT_number 216
_space_group_name_Hall 'F -4 2 3'
_cell_length_a 6.9739
_cell_length_b 6.9739
_cell_length_c 6.9739
_cell_angle_alpha 90.00
_cell_angle_beta 90.00
_cell_angle_gamma 90.00
loop_
_atom_site_label
_atom_site_fract_x
_atom_site_fract_y
_atom_site_fract_z
Li1 0.0000 0.0000 0.0000
Pm1 0.0000 0.0000 0.5000
Ag1 0.2500 0.2500 0.2500
Ge1 0.2500 0.2500 0.7500

=====

Entry 15:
# Re3HF (GGA-PBE, optimized geometry)
# size of the total moment: 0.00 μB per formula unit
# E: -7.531 eV/atom
# DOS(E_F): 6.5 states/eV/cell
data_Re3HF
_space_group_name_H-M_alt 'P m -3 m'
_space_group_IT_number 221
_space_group_name_Hall '-P 4 2 3'
_cell_length_a 3.9363
_cell_length_b 3.9363
_cell_length_c 3.9363
_cell_angle_alpha 90.00
_cell_angle_beta 90.00
_cell_angle_gamma 90.00
loop_
_atom_site_label
_atom_site_fract_x
_atom_site_fract_y
_atom_site_fract_z
Re1 0.0000 0.0000 0.5000
H1 0.0000 0.0000 0.0000
F1 0.5000 0.5000 0.5000

=====

Entry 16:
# Cu2OF2 (GGA-PBE, optimized geometry)
# size of the total moment: 0.65 μB per formula unit
# E: -4.461 eV/atom
# DOS(E_F): 15.5 states/eV/cell
# relative energy among the computed polymorphs: 2.48 kJ per mole of atoms
# E_form (uncorrected): -1.0827 eV/atom
data_Cu2OF2
_space_group_name_H-M_alt 'C 1 2/c 1'
_space_group_IT_number 15
_cell_length_a 9.0143
_cell_length_b 5.2978
_cell_length_c 14.1535
_cell_angle_alpha 90.00
_cell_angle_beta 92.46
_cell_angle_gamma 90.00
loop_
_space_group_symop_operation_xyz
'x,y,z'
'-x,-y,-z'
'-x,y,-z+1/2'
'x,-y,z+1/2'
'x+1/2,y+1/2,z'
'-x+1/2,-y+1/2,-z'
'-x+1/2,y+1/2,-z+1/2'
'x+1/2,-y+1/2,z+1/2'
loop_
_atom_site_label
_atom_site_fract_x
_atom_site_fract_y
_atom_site_fract_z
Cu1 0.0097 0.0780 0.1550
Cu2 0.1347 0.4225 0.8196
Cu3 0.1531 0.4773 0.5141
O1 0.0000 0.2011 0.7500
O2 0.0059 0.4021 0.4110
F1 0.1622 0.0726 0.9144
F2 0.1786 0.2209 0.2341
F3 0.2059 0.0894 0.5875

=====

Entry 17:
# CsMnAsH2 (GGA-PBE, optimized geometry)
# size of the total moment: 4.42 μB per formula unit
# E: -3.183 eV/atom
# DOS(E_F): 1.6 states/eV/cell
data_CsMnAsH2
_space_group_name_H-M_alt 'P 4/m m m'
_space_group_IT_number 123
_space_group_name_Hall '-P 4 2'
_cell_length_a 4.0853
_cell_length_b 4.0853
_cell_length_c 7.4123
_cell_angle_alpha 90.00
_cell_angle_beta 90.00
_cell_angle_gamma 90.00
loop_
_atom_site_label
_atom_site_fract_x
_atom_site_fract_y
_atom_site_fract_z
Cs1 0.0000 0.0000 0.0000
Mn1 0.5000 0.5000 0.5000
As1 0.0000 0.0000 0.5000
H1 0.0000 0.5000 0.0000

=====

Entry 18:
# HfB2Ru (GGA-PBE, optimized geometry)
# size of the total moment: 0.00 μB per formula unit
# E: -8.543 eV/atom
# DOS(E_F): 5.6 states/eV/cell
# relative energy among the computed polymorphs: 0.00 kJ per mole of atoms
# formation energy from the elements: -397 meV/atom
data_HfB2Ru
_space_group_name_H-M_alt 'R -3 m'
_space_group_IT_number 166
_space_group_name_Hall '-R 3 2"'
_cell_length_a 3.5438
_cell_length_b 3.5438
_cell_length_c 13.1056
_cell_angle_alpha 90.00
_cell_angle_beta 90.00
_cell_angle_gamma 120.00
loop_
_atom_site_label
_atom_site_fract_x
_atom_site_fract_y
_atom_site_fract_z
Hf1 0.0000 0.0000 0.0000
B1 0.0000 0.0000 0.2227
Ru1 0.0000 0.0000 0.5000

=====

Entry 19:
# SbCl (GGA-PBE, optimized geometry)
# size of the total moment: 0.00 μB per formula unit
# E: -3.241 eV/atom
# DOS(E_F): 0.9 states/eV/cell
# relative energy among the computed polymorphs: 21.08 kJ per mole of atoms
# E_form (uncorrected): -0.2566 eV/atom
data_SbCl
_space_group_name_H-M_alt 'C 1 2/m 1'
_space_group_IT_number 12
_cell_length_a 14.1785
_cell_length_b 3.6118
_cell_length_c 5.6538
_cell_angle_alpha 90.00
_cell_angle_beta 100.52
_cell_angle_gamma 90.00
loop_
_space_group_symop_operation_xyz
'x,y,z'
'-x,-y,-z'
'-x,y,-z'
'x,-y,z'
'x+1/2,y+1/2,z'
'-x+1/2,-y+1/2,-z'
'-x+1/2,y+1/2,-z'
'x+1/2,-y+1/2,z'
loop_
_atom_site_label
_atom_site_fract_x
_atom_site_fract_y
_atom_site_fract_z
Sb1 0.1677 0.0000 0.4543
Cl1 0.1200 0.5000 0.7797

=====

Entry 20:
# ScTa2Cl (GGA-PBE, optimized geometry)
# size of the total moment: 0.96 μB per formula unit
# E: -7.768 eV/atom
# DOS(E_F): 18.9 states/eV/cell
# relative energy among the computed polymorphs: 38.52 kJ per mole of atoms
# E_form (uncorrected): 0.2028 eV/atom
data_ScTa2Cl
_space_group_name_H-M_alt 'R -3 m'
_space_group_IT_number 166
_space_group_name_Hall '-R 3 2"'
_cell_length_a 3.0487
_cell_length_b 3.0487
_cell_length_c 28.1730
_cell_angle_alpha 90.00
_cell_angle_beta 90.00
_cell_angle_gamma 120.00
loop_
_atom_site_label
_atom_site_fract_x
_atom_site_fract_y
_atom_site_fract_z
Sc1 0.0000 0.0000 0.0000
Ta1 0.0000 0.0000 0.2438
Cl1 0.0000 0.0000 0.5000